The following is a DFT calculation (SCAN) of a PBEsol-optimized structure of KBaAsO4.

Output
- Crystal system: orthorhombic
- ΔE_f (raw): -2.29 eV per atom
- DOS(E_F): 0.00 states/eV/f.u.
- Magnetization: 0.0 μB/cell

Unit cell a=7.7870 b=5.8759 c=10.3392 alpha=90.00 beta=90.00 gamma=90.00
Closest atoms and distances in Å follow each position.
Space group Pnma (No. 62)
Symmetry-distinct sites (fractional):
K  0.1639  0.2500  0.0775  5 O 2.68-2.95
Ba  0.0044  0.7500  0.3025  7 O 2.67-2.83
As  0.2280  0.2500  0.4186  4 O 1.71-1.72
O  0.0078  0.2500  0.4240  1 As 1.71
O  0.1897  0.7500  0.0733  1 As 1.72
O  0.2034  0.5098  0.8404  1 As 1.71